1.
Compound: BaAlOs3
Source: Alexandria via LeMat-Bulk
Functional: PBE
Structure: optimized geometry

Values from the calculation:
Calculated total energy ... -4.188 eV/atom

a = 5.0044 Å, b = 5.0044 Å, c = 5.0044 Å
α = 90.00°, β = 90.00°, γ = 90.00°
Last column: nearest neighbours and their distance in Å.
Positions (direct):
Ba (0.0000, 0.0000, 0.0000)  6 Os 2.50
Al (0.5000, 0.5000, 0.5000)  12 Os 3.54
Os (0.0000, 0.0000, 0.5000)  2 Ba 2.50
Os (0.0000, 0.5000, 0.0000)  2 Ba 2.50
Os (0.5000, 0.0000, 0.0000)  2 Ba 2.50



2.
Compound: Ba2AlOs
Source: Alexandria via LeMat-Bulk
Functional: PBE
Structure: optimized geometry

Values from the calculation:
Calculated total energy ... -3.992 eV/atom

a = 5.3145 Å, b = 5.3145 Å, c = 5.3145 Å
α = 60.00°, β = 60.00°, γ = 60.00°
Last column: nearest neighbours and their distance in Å.
Positions (direct):
Ba (0.0000, 0.0000, 0.0000)  4 Ba 3.25, 4 Os 3.25
Ba (0.2500, 0.2500, 0.2500)  4 Ba 3.25, 4 Al 3.25
Al (0.5000, 0.5000, 0.5000)  4 Ba 3.25, 4 Os 3.25
Os (0.7500, 0.7500, 0.7500)  4 Ba 3.25, 4 Al 3.25



3.
Compound: BaAl2Os
Source: Alexandria via LeMat-Bulk
Functional: PBE
Structure: optimized geometry

Values from the calculation:
Calculated total energy ... -5.051 eV/atom

a = 8.7516 Å, b = 8.7516 Å, c = 8.7516 Å
α = 143.22°, β = 143.22°, γ = 52.99°
Last column: nearest neighbours and their distance in Å.
Positions (direct):
Ba (0.3750, 0.6250, 0.7500)  8 Al 3.66, 4 Os 3.90
Ba (0.6250, 0.3750, 0.2500)  8 Al 3.66, 4 Os 3.90
Al (0.0000, 0.0000, 0.0000)  2 Os 2.40
Al (0.0000, 0.0000, 0.5000)  2 Os 2.40
Al (0.0000, 0.5000, 0.0000)  2 Os 2.40
Al (0.5000, 0.0000, 0.5000)  2 Os 2.40
Os (0.1250, 0.8750, 0.2500)  4 Al 2.40
Os (0.8750, 0.1250, 0.7500)  4 Al 2.40



4.
Compound: Ba2AlOs
Source: Alexandria via LeMat-Bulk
Functional: PBE
Structure: optimized geometry

Values from the calculation:
Calculated total energy ... -4.410 eV/atom

a = 8.5832 Å, b = 8.5832 Å, c = 8.5832 Å
α = 94.62°, β = 94.62°, γ = 147.04°
Last column: nearest neighbours and their distance in Å.
Positions (direct):
Ba (0.3750, 0.1959, 0.3209)  2 Os 3.09
Ba (0.8041, 0.1250, 0.1791)  2 Os 3.09
Ba (0.8750, 0.0541, 0.6791)  2 Os 3.09
Ba (0.9459, 0.6250, 0.8209)  2 Os 3.09
Al (0.2500, 0.7500, 0.5000)  2 Os 2.43
Al (0.5000, 0.5000, 0.0000)  2 Os 2.43
Os (0.0000, 0.0000, 0.0000)  2 Al 2.43
Os (0.7500, 0.2500, 0.5000)  2 Al 2.43



5.
Compound: Ba2AlOs
Source: Alexandria via LeMat-Bulk
Functional: PBE
Structure: optimized geometry

Values from the calculation:
Calculated total energy ... -4.015 eV/atom

a = 3.7647 Å, b = 3.8191 Å, c = 8.5123 Å
α = 90.00°, β = 90.00°, γ = 90.00°
Last column: nearest neighbours and their distance in Å.
Positions (direct):
Ba (0.0000, 0.0000, 0.2177)  4 Os 3.26, 4 Al 3.60
Ba (0.0000, 0.0000, 0.7823)  4 Os 3.26, 4 Al 3.60
Al (0.5000, 0.5000, 0.5000)  8 Ba 3.60, 4 Al 3.76-3.82
Os (0.5000, 0.5000, 0.0000)  8 Ba 3.26



6.
Compound: BaAl2Os
Source: Alexandria via LeMat-Bulk
Functional: PBE
Structure: optimized geometry

Values from the calculation:
Calculated total energy ... -4.818 eV/atom

a = 5.5438 Å, b = 5.5438 Å, c = 5.5438 Å
α = 137.42°, β = 114.88°, γ = 80.96°
Last column: nearest neighbours and their distance in Å.
Positions (direct):
Ba (0.0000, 0.0000, 0.0000)  8 Al 3.32-3.42, 4 Os 3.60
Al (0.3279, 0.8279, 0.5000)  2 Os 2.48
Al (0.6721, 0.1721, 0.5000)  2 Os 2.48
Os (0.5000, 0.5000, 0.0000)  4 Al 2.48



How do the records compare in formation energy? In the order shown, they have 355 69 10 28 67 33 kJ per mole of atoms.